! Cs2TaPd2, optimized geometry, DFT PBE; values from VASP
&SYSTEM
  ibrav = 0, nat = 10, ntyp = 3
/
ATOMIC_SPECIES
Cs 132.91 Cs.upf
Ta 180.95 Ta.upf
Pd 106.42 Pd.upf
CELL_PARAMETERS angstrom
3.658 0.000 0.000
0.000 3.658 0.000
0.000 0.000 24.483
ATOMIC_POSITIONS angstrom
Cs 0.000 0.000 3.141
Cs 0.000 0.000 21.342
Cs 1.829 1.829 9.100
Cs 1.829 1.829 15.383
Ta 0.000 0.000 12.242
Ta 1.829 1.829 0.000
Pd 0.000 1.829 6.121
Pd 0.000 1.829 18.362
Pd 1.829 0.000 6.121
Pd 1.829 0.000 18.362
! * space-group type: I4/mmm (139)
! * energy relative to the elements: 1.1209 eV/atom
! * electronic total energy: -36.7 eV for the cell shown